{"formula": "VSnO3", "functional": "PBE+U", "state": "relaxed", "cell": [[5.617, 0.000, 0.000], [0.000, 7.868, 0.000], [0.000, 0.000, 5.406]], "species": ["V", "V", "V", "V", "Sn", "Sn", "Sn", "Sn", "O", "O", "O", "O", "O", "O", "O", "O", "O", "O", "O", "O"], "fractional_positions": [[0.049, 0.250, 0.011], [0.451, 0.750, 0.511], [0.549, 0.250, 0.489], [0.951, 0.750, 0.989], [0.000, 0.000, 0.500], [0.000, 0.500, 0.500], [0.500, 0.000, 0.000], [0.500, 0.500, 0.000], [0.076, 0.750, 0.362], [0.188, 0.573, 0.820], [0.188, 0.927, 0.820], [0.312, 0.073, 0.320], [0.312, 0.427, 0.320], [0.424, 0.250, 0.862], [0.576, 0.750, 0.138], [0.688, 0.573, 0.680], [0.688, 0.927, 0.680], [0.812, 0.073, 0.180], [0.812, 0.427, 0.180], [0.924, 0.250, 0.638]], "crystal_system": "orthorhombic", "dft_energy_ev_per_atom": -6.7818, "space_group": "Pnma (62)"}